Entry from the Alexandria database: a relaxed Cr2Fe4Ni5 crystal (PBE).

## Properties
Density of states at the Fermi level ... 11.8 states/eV/f.u.
ΔH_f (0 K) ... 206 meV/atom

abc: 8.7172 4.8054 6.8049
angles: 90.00 114.79 90.00
Space group C2/m (No. 12)
Unique sites:
Cr1 0.1397 0.0000 0.1933 x4
Fe1 0.1351 0.5000 0.5014 x4
Fe2 0.1610 0.5000 0.1774 x4
Ni1 0.0000 0.0000 0.5000 x2
Ni2 0.1065 0.2535 0.8418 x8